(1)
Density functional theory data (PBE) for an optimized crystal structure of CaCr2Cl.

It has space group Imm2 (No. 44), with a = 3.3506 Å, b = 5.8993 Å, c = 9.3061 Å, α = 90.00°, β = 90.00° and γ = 90.00°. The asymmetric unit holds Ca at (0.0000, 0.0000, 0.0000), Cr at (0.0000, 0.0000, 0.5424), Cr at (0.0000, 0.5000, 0.8410) and Cl at (0.0000, 0.5000, 0.2611).

The calculated density comes out at 3.24 g/cm³. The value obtained for the excess energy over the best structure of this formula in the dataset is 0.347 eV per atom.

(2)
Density functional theory data (PBE) for an optimized crystal structure of Pm7Pr2Tm4.

It has space group P-1 (No. 2), with a = 6.2425 Å, b = 6.2677 Å, c = 11.4035 Å, α = 90.09°, β = 100.55° and γ = 99.75°. The asymmetric unit holds Pm at (0.0000, 0.0000, 0.0000), Pm at (0.0789, 0.8449, 0.3046), Pm at (0.2314, 0.5403, 0.9242), Pm at (0.3851, 0.2321, 0.5393), Pr at (0.1526, 0.6957, 0.6180), Tm at (0.3097, 0.3840, 0.2280) and Tm at (0.4635, 0.0789, 0.8484).

The calculated density comes out at 7.58 g/cm³. As for the formation energy from the elements: 0.017 eV/atom.

(3)
Density functional theory data (PBE) for an optimized crystal structure of ZrCr2Os.

It has space group Pm (No. 6), with a = 2.8270 Å, b = 4.0410 Å, c = 5.3739 Å, α = 90.00°, β = 102.01° and γ = 90.00°. The asymmetric unit holds Zr at (0.0000, 0.0000, 0.0000), Cr at (0.5313, 0.0000, 0.4866), Cr at (0.7157, 0.5000, 0.2907) and Os at (0.2736, 0.5000, 0.7132).

The calculated density comes out at 10.66 g/cm³. The value obtained for the excess energy over the best structure of this formula in the dataset is 0.094 eV per atom. As for the formation energy from the elements: 0.149 eV/atom.

(4)
Density functional theory data (PBE) for an optimized crystal structure of KBeW2.

It has space group P4/mmm (No. 123), with a = 3.1464 Å, b = 3.1464 Å, c = 8.1958 Å, α = 90.00°, β = 90.00° and γ = 90.00°. The asymmetric unit holds K at (0.0000, 0.0000, 0.0000), Be at (0.0000, 0.0000, 0.5000) and W at (0.5000, 0.5000, 0.3603).

The calculated density comes out at 8.51 g/cm³. As for the formation energy from the elements: 1.041 eV/atom.

> Which value of calculated density does entry 1 give?

3.24 g/cm³